# TaTcNiN2 | the Alexandria database | GGA-PBE | relaxed
# DOS(E_F) (states/eV per atom): 0.779
# Magnetization (μB/cell): 1.78
# Uncorrected formation energy (meV/atom): 1512.8
# Calculated total energy (eV per atom): -7.4174
data_TaTcNiN2
_chemical_formula_sum 'Ta1 Tc1 Ni1 N2'
_cell_length_a 3.642
_cell_length_b 3.642
_cell_length_c 4.933
_cell_angle_alpha 90.00
_cell_angle_beta 90.00
_cell_angle_gamma 90.00
_symmetry_space_group_name_H-M 'P 4/m m m'
_symmetry_Int_Tables_number 123
_symmetry_space_group_name_Hall '-P 4 2'
loop_
_atom_site_label
_atom_site_type_symbol
_atom_site_fract_x
_atom_site_fract_y
_atom_site_fract_z
Ta1 Ta 0.000 0.000 0.000
Tc1 Tc 0.500 0.500 0.000
Ni1 Ni 0.500 0.500 0.500
N1 N 0.000 0.500 0.500